Entry from the Alexandria database: crystalline CoSi2Tc at its relaxed geometry (PBE-GGA). Values from VASP.

Structure (Quantum ESPRESSO input):
```
&SYSTEM
  ibrav = 0, nat = 4, ntyp = 3
/
ATOMIC_SPECIES
Co 58.93 Co.upf
Si 28.09 Si.upf
Tc 98.00 Tc.upf
ATOMIC_POSITIONS angstrom
Co 0.000 0.000 0.000
Si 0.000 0.000 2.360
Si 1.559 1.559 0.908
Tc 1.559 1.559 3.427
CELL_PARAMETERS angstrom
3.117 0.000 0.000
0.000 3.117 0.000
0.000 0.000 5.160
```

## Properties
uncorrected energy	-29.80	eV/cell
space-group type	P4mm, No. 99
Fermi-level density of states	5.193	states/eV per cell
uncorrected formation energy	-0.37	eV/atom